# 1
Below is an optimized crystal structure of Cs2ScGeS4, with properties calculated at the PBE level.

Structure (POSCAR):
```
Cs2ScGeS4
1.0
6.3722 0.0000 0.0000
3.1861 7.1976 0.0000
3.1861 0.0000 12.6729
S Ge Cs Sc
8 2 4 2
Direct
0.8663 0.6835 0.5976
0.6026 0.1835 0.0976
0.8837 0.8165 0.9024
0.2998 0.8165 0.0976
0.5360 0.3165 0.5976
0.4502 0.6835 0.4024
0.2140 0.1835 0.9024
0.1474 0.3165 0.4024
0.2500 0.5000 0.5000
0.5000 0.0000 0.0000
0.5718 0.5000 0.8565
0.8218 0.0000 0.3565
0.9282 0.5000 0.1435
0.1782 0.0000 0.6435
0.7500 0.5000 0.5000
0.0000 0.0000 0.0000
```

# 2
Below is an optimized crystal structure of CsSiGeS4, with properties calculated at the PBE level.

Structure (POSCAR):
```
CsSiGeS4
1.0
-2.0236 -4.3634 3.6498
5.0448 -5.1538 -3.3644
7.4622 4.4243 4.4118
S Ge Si Cs
8 2 2 2
Direct
0.0767 0.0377 0.7321
0.9233 0.5377 0.2679
0.3158 0.7500 0.1216
0.9233 0.9623 0.2679
0.6842 0.2500 0.8784
0.5628 0.2500 0.5170
0.4372 0.7500 0.4830
0.0767 0.4623 0.7321
0.3304 0.2500 0.6827
0.6696 0.7500 0.3173
0.8493 0.2500 0.7100
0.1507 0.7500 0.2900
0.3111 0.2500 0.1277
0.6889 0.7500 0.8723
```

# 3
Below is an optimized crystal structure of Cs2SmGe2S6, with properties calculated at the PBE level.

Structure (POSCAR):
```
Cs2SmGe2S6
1.0
7.3461 0.0000 0.0000
-3.6730 6.3563 -0.2239
0.0000 -3.9256 8.0156
S Cs Sm Ge
6 2 1 2
Direct
0.2569 0.5139 0.2656
0.2514 0.9962 0.7378
0.7431 0.4861 0.7344
0.2552 0.0038 0.2622
0.7448 0.9962 0.7378
0.7486 0.0038 0.2622
0.7159 0.4319 0.1494
0.2841 0.5681 0.8506
0.5000 0.0000 0.5000
0.1058 0.2115 0.3206
0.8942 0.7885 0.6794
```

# 4
Below is an optimized crystal structure of Cs2SrGeS4, with properties calculated at the PBE level.

Structure (POSCAR):
```
Cs2SrGeS4
1.0
6.6424 0.0000 0.0000
3.3212 7.2428 0.0000
3.3212 0.0000 13.3315
S Cs Sr Ge
8 4 2 2
Direct
0.2656 0.1904 0.9033
0.9189 0.6904 0.5967
0.5439 0.1904 0.0967
0.8311 0.8096 0.9033
0.3906 0.6904 0.4033
0.2061 0.3096 0.4033
0.4844 0.3096 0.5967
0.3594 0.8096 0.0967
0.5662 0.5000 0.8676
0.9338 0.5000 0.1324
0.8162 0.0000 0.3676
0.1838 0.0000 0.6324
0.0000 0.0000 0.0000
0.7500 0.5000 0.5000
0.2500 0.5000 0.5000
0.5000 0.0000 0.0000
```

# 5
Below is an optimized crystal structure of CsTaGeS5, with properties calculated at the PBE level.

Structure (POSCAR):
```
CsTaGeS5
1.0
-6.5635 -2.6134 0.7436
-2.1057 -3.0347 -7.0372
1.4859 -9.4984 -0.9510
S Ta Cs Ge
10 2 2 2
Direct
0.0730 0.7716 0.0089
0.3014 0.1224 0.7195
0.4258 0.2054 0.0326
0.6986 0.8776 0.2805
0.0602 0.3976 0.3696
0.7654 0.1605 0.7118
0.9398 0.6024 0.6304
0.2346 0.8395 0.2882
0.5742 0.7946 0.9674
0.9270 0.2284 0.9911
0.7611 0.9730 0.9948
0.2389 0.0270 0.0052
0.5965 0.3497 0.3038
0.4035 0.6503 0.6962
0.9845 0.6968 0.3691
0.0155 0.3032 0.6309
```

# 6
Below is an optimized crystal structure of CsTaGe2S8, with properties calculated at the PBE level.

Structure (POSCAR):
```
CsTaGe2S8
1.0
-5.0989 -0.7357 3.5432
4.6320 -4.1906 0.2787
3.9515 4.8123 6.6856
S Ge Ta Cs
8 2 1 1
Direct
0.3333 0.6667 0.9578
0.0149 0.6817 0.3509
0.6668 0.9851 0.3509
0.6817 0.6668 0.6491
0.3183 0.3332 0.3509
0.9851 0.3183 0.6491
0.6667 0.3333 0.0422
0.3332 0.0149 0.6491
0.6667 0.3333 0.2839
0.3333 0.6667 0.7161
0.0000 0.0000 0.5000
0.0000 0.0000 0.0000
```

# 7
Below is an optimized crystal structure of Cs2TbGe2S6, with properties calculated at the PBE level.

Structure (POSCAR):
```
Cs2TbGe2S6
1.0
-2.3348 1.1433 -6.8111
-3.8480 -4.2490 4.5075
-0.7379 8.6779 1.7097
Cs Ge Tb S
2 2 1 6
Direct
0.2845 0.5690 0.8512
0.7155 0.4310 0.1488
0.1073 0.2146 0.3259
0.8927 0.7854 0.6741
0.5000 0.0000 0.5000
0.2528 0.9957 0.7347
0.7472 0.0043 0.2653
0.7429 0.9957 0.7347
0.7407 0.4814 0.7304
0.2593 0.5186 0.2696
0.2571 0.0043 0.2653
```

# 8
Below is an optimized crystal structure of Cs2TbGeS4, with properties calculated at the PBE level.

Structure (POSCAR):
```
Cs2TbGeS4
1.0
6.5923 0.0000 0.0000
3.2961 7.3538 0.0000
3.2961 0.0000 12.9034
S Cs Tb Ge
8 4 2 2
Direct
0.4333 0.6872 0.4019
0.2276 0.1872 0.9019
0.1648 0.3128 0.4019
0.5852 0.1872 0.0981
0.5224 0.3128 0.5981
0.8705 0.8128 0.9019
0.8795 0.6872 0.5981
0.3167 0.8128 0.0981
0.9302 0.5000 0.1397
0.1802 0.0000 0.6397
0.5698 0.5000 0.8603
0.8198 0.0000 0.3603
0.0000 0.0000 0.0000
0.7500 0.5000 0.5000
0.5000 0.0000 0.0000
0.2500 0.5000 0.5000
```

# 9
Below is an optimized crystal structure of CsTbGeS4, with properties calculated at the PBE level.

Structure (POSCAR):
```
CsTbGeS4
1.0
6.5238 0.0000 -0.1538
0.0000 6.8241 0.0000
-2.7629 0.0000 9.1074
S Ge Cs Tb
8 2 2 2
Direct
0.4254 0.7500 0.1918
0.9943 0.4978 0.3079
0.4407 0.7500 0.5721
0.5746 0.2500 0.8082
0.0057 0.5022 0.6921
0.9943 0.0022 0.3079
0.5593 0.2500 0.4279
0.0057 0.9978 0.6921
0.7741 0.2500 0.6592
0.2259 0.7500 0.3408
0.7369 0.7500 0.9384
0.2631 0.2500 0.0616
0.7774 0.7500 0.4534
0.2226 0.2500 0.5466
```

# 10
Below is an optimized crystal structure of Cs2GeTeS4, with properties calculated at the PBE level.

Structure (POSCAR):
```
Cs2GeTeS4
1.0
6.9624 0.3453 0.5290
-2.6542 6.4458 -0.5290
-2.6542 -3.0783 5.6880
S Cs Ge Te
4 2 1 1
Direct
0.9419 0.4802 0.1536
0.3266 0.8464 0.7883
0.0581 0.2117 0.5383
0.6734 0.4617 0.5198
0.0000 0.0000 0.0000
0.5000 0.7500 0.2500
0.0000 0.5000 0.5000
0.5000 0.2500 0.7500
```

# 11
Below is an optimized crystal structure of Cs2ThGe2S6, with properties calculated at the PBE level.

Structure (POSCAR):
```
Cs2ThGe2S6
1.0
7.4266 0.0000 0.0000
-3.7133 6.3987 -0.3375
0.0000 -4.1050 7.2847
Cs S Th Ge
2 6 1 2
Direct
0.2799 0.5598 0.7912
0.7201 0.4402 0.2088
0.2160 0.9366 0.2304
0.2793 0.0634 0.7696
0.7494 0.4988 0.6644
0.7207 0.9366 0.2304
0.2506 0.5012 0.3356
0.7840 0.0634 0.7696
0.5000 0.0000 0.5000
0.9571 0.9142 0.8250
0.0429 0.0858 0.1750
```

# 12
Below is an optimized crystal structure of CsTl2GeS4, with properties calculated at the PBE level.

Structure (POSCAR):
```
CsTl2GeS4
1.0
-0.7326 6.7906 4.9626
-5.1039 3.5187 -5.7310
-1.9461 -7.2724 3.0206
Tl S Ge Cs
4 8 2 2
Direct
0.5000 0.0000 0.5000
0.5000 0.0000 0.0000
0.5000 0.5000 0.0000
0.0000 0.0000 0.5000
0.2777 0.8057 0.0420
0.2688 0.2306 0.0260
0.2694 0.2312 0.4740
0.3057 0.7776 0.5420
0.6943 0.2223 0.4580
0.7311 0.7694 0.9740
0.7306 0.7689 0.5260
0.7224 0.1943 0.9580
0.0000 0.0000 0.0000
0.5000 0.5000 0.5000
0.0000 0.5000 0.0000
0.0000 0.5000 0.5000
```

# 13
Below is an optimized crystal structure of CsVGeS2, with properties calculated at the PBE level.

Structure (POSCAR):
```
CsVGeS2
1.0
5.4795 0.0000 0.0000
0.0000 5.6931 0.0000
0.0000 0.0000 5.4795
S V Cs Ge
2 1 1 1
Direct
0.5000 0.0000 0.0000
0.0000 0.0000 0.5000
0.5000 0.5000 0.5000
0.0000 0.0000 0.0000
0.0000 0.5000 0.0000
```

# 14
Below is an optimized crystal structure of Cs2ZrGeS4, with properties calculated at the PBE level.

Structure (POSCAR):
```
Cs2ZrGeS4
1.0
-0.2262 -4.1999 5.3375
-0.9358 -7.7446 -1.8078
12.2509 -3.4654 2.1183
S Cs Zr Ge
8 4 2 2
Direct
0.4799 0.6825 0.3976
0.8376 0.6825 0.6024
0.1900 0.1825 0.8976
0.2701 0.8175 0.1024
0.9124 0.8175 0.8976
0.5600 0.3175 0.6024
0.1225 0.3175 0.3976
0.6275 0.1825 0.1024
0.5709 0.5000 0.8582
0.9291 0.5000 0.1418
0.8209 0.0000 0.3582
0.1791 0.0000 0.6418
0.7500 0.5000 0.5000
0.0000 0.0000 0.0000
0.5000 0.0000 0.0000
0.2500 0.5000 0.5000
```

# 15
Below is an optimized crystal structure of CsGeSb2, with properties calculated at the PBE level.

Structure (POSCAR):
```
CsGeSb2
1.0
3.9780 0.0000 0.0000
1.9890 3.4451 0.0000
1.9890 1.1484 9.7401
Sb Cs Ge
2 1 1
Direct
0.2745 0.2745 0.1765
0.7255 0.7255 0.8235
0.5000 0.5000 0.5000
0.0000 0.0000 0.0000
```

# 16
Below is an optimized crystal structure of Cs2GeSb3, with properties calculated at the PBE level.

Structure (POSCAR):
```
Cs2GeSb3
1.0
10.4702 1.3858 0.9873
2.3118 7.9293 -0.6337
2.3118 1.9913 7.7013
Sb Cs Ge
6 4 2
Direct
0.9327 0.9622 0.8999
0.7500 0.5925 0.4075
0.0673 0.0378 0.1001
0.4327 0.8999 0.9622
0.5673 0.1001 0.0378
0.2500 0.4075 0.5925
0.8314 0.4902 0.8561
0.3314 0.8561 0.4902
0.6686 0.1439 0.5098
0.1686 0.5098 0.1439
0.7500 0.8334 0.1666
0.2500 0.1666 0.8334
```

# 17
Below is an optimized crystal structure of CsGe3Sb3, with properties calculated at the PBE level.

Structure (POSCAR):
```
CsGe3Sb3
1.0
-1.1353 -7.8470 0.6994
1.9455 -0.9640 -7.6577
7.6341 -0.9213 2.0555
Ge Cs Sb
6 2 6
Direct
0.7500 0.0000 0.5000
0.5000 0.2500 0.0000
0.5000 0.7500 0.0000
0.0000 0.5000 0.2500
0.0000 0.5000 0.7500
0.2500 0.0000 0.5000
0.0000 0.0000 0.0000
0.5000 0.5000 0.5000
0.2500 0.5000 0.0000
0.0000 0.7500 0.5000
0.5000 0.0000 0.7500
0.5000 0.0000 0.2500
0.7500 0.5000 0.0000
0.0000 0.2500 0.5000
```

# 18
Below is an optimized crystal structure of CsGeSb2, with properties calculated at the PBE level.

Structure (POSCAR):
```
CsGeSb2
1.0
8.5945 0.0000 0.0000
0.0000 8.5945 0.0000
4.2973 4.2973 4.1818
Ge Cs Sb
2 2 4
Direct
0.5000 0.5000 0.0000
0.2500 0.7500 0.5000
0.0000 0.0000 0.0000
0.7500 0.2500 0.5000
0.3750 0.4779 0.7500
0.5221 0.1250 0.2500
0.8750 0.7721 0.7500
0.2279 0.6250 0.2500
```

# 19
Below is an optimized crystal structure of Cs2GeSb2, with properties calculated at the PBE level.

Structure (POSCAR):
```
Cs2GeSb2
1.0
7.8268 0.0000 0.0000
0.0000 7.8268 0.0000
0.0000 0.0000 6.3271
Sb Cs Ge
4 4 2
Direct
0.6296 0.1296 0.0000
0.3704 0.8704 0.0000
0.1296 0.3704 0.0000
0.8704 0.6296 0.0000
0.6782 0.8218 0.5000
0.1782 0.6782 0.5000
0.3218 0.1782 0.5000
0.8218 0.3218 0.5000
0.0000 0.0000 0.0000
0.5000 0.5000 0.0000
```

# 20
Below is an optimized crystal structure of CsGe2Sb, with properties calculated at the PBE level.

Structure (POSCAR):
```
CsGe2Sb
1.0
-2.2168 1.2672 8.1635
2.7592 -7.8534 1.9683
3.6808 -1.9167 5.7782
Sb Ge Cs
2 4 2
Direct
0.5000 0.5000 0.0000
0.2500 0.7500 0.5000
0.1966 0.6250 0.2500
0.3750 0.4466 0.7500
0.8750 0.8034 0.7500
0.5534 0.1250 0.2500
0.0000 0.0000 0.0000
0.7500 0.2500 0.5000
```

We obtain ΔE_f (raw) values of -9.0, -4.7, -10.0, -8.8, -7.0, -4.8, -10.1, -8.8, -8.9, -4.6, -11.7, -2.1, 10.1, -8.9, 0.2, -1.0, 0.2, -0.1, -0.8, 0.7 eV per formula unit for the records listed above, in that order.